A) A plane-wave DFT calculation with PBE was carried out for crystalline Mg3Cd4Ag at its relaxed geometry.

abc: 18.913 3.784 4.759
angles: 90.00 97.19 90.00
Space group C2/m (No. 12)
Asymmetric unit:
1 Mg 0.000 0.000 0.000
2 Mg 0.118 0.000 0.581
3 Cd 0.122 0.500 0.083
4 Cd 0.250 0.000 0.253
5 Ag 0.000 0.500 0.500

## Properties
Crystal system = monoclinic



B) A plane-wave DFT calculation with PBE was carried out for crystalline Mg3Cd4Ag at its relaxed geometry.

abc: 3.219 4.574 12.240
angles: 80.35 82.51 89.97
Space group P-1 (No. 2)
Asymmetric unit:
1 Mg 0.000 0.000 0.000
2 Mg 0.350 0.853 0.299
3 Cd 0.097 0.598 0.803
4 Cd 0.221 0.720 0.559
5 Ag 0.500 0.500 0.000

## Properties
Crystal system = triclinic



Winner for stability: A)



A) A plane-wave DFT calculation with PBE was carried out for crystalline SrMg2CdAg at its relaxed geometry.

abc: 6.672 6.672 5.946
angles: 90.00 90.00 90.00
Space group P4/mmm (No. 123)
Asymmetric unit:
1 Sr 0.000 0.000 0.000
2 Mg 0.000 0.500 0.000
3 Cd 0.500 0.500 0.500
4 Ag 0.000 0.000 0.500

## Properties
Crystal system = tetragonal



B) A plane-wave DFT calculation with PBE was carried out for crystalline SrMg2CdAg at its relaxed geometry.

abc: 5.197 5.197 5.352
angles: 90.00 90.00 90.00
Space group P4/mmm (No. 123)
Asymmetric unit:
1 Sr 0.000 0.000 0.000
2 Mg 0.000 0.500 0.500
3 Cd 0.500 0.500 0.000
4 Ag 0.500 0.500 0.500

## Properties
Crystal system = tetragonal



Winner for stability: B)



A) A plane-wave DFT calculation with PBE was carried out for crystalline Cd3AgMo at its relaxed geometry.

abc: 5.170 5.170 5.170
angles: 90.00 90.00 90.00
Space group Pm-3m (No. 221)
Asymmetric unit:
1 Cd 0.000 0.000 0.500
2 Ag 0.000 0.000 0.000
3 Mo 0.500 0.500 0.500

## Properties
Crystal system = cubic



B) A plane-wave DFT calculation with PBE was carried out for crystalline Cd3AgMo at its relaxed geometry.

abc: 5.379 5.379 5.379
angles: 90.00 90.00 90.00
Space group Pm-3m (No. 221)
Asymmetric unit:
1 Cd 0.000 0.000 0.500
2 Ag 0.500 0.500 0.500
3 Mo 0.000 0.000 0.000

## Properties
Crystal system = cubic



Winner for stability: A)



A) A plane-wave DFT calculation with PBE was carried out for crystalline CdAg3N at its relaxed geometry.

abc: 4.469 4.469 4.469
angles: 90.00 90.00 90.00
Space group Pm-3m (No. 221)
Asymmetric unit:
1 Cd 0.000 0.000 0.000
2 Ag 0.000 0.500 0.500
3 N 0.500 0.500 0.500

## Properties
Crystal system = cubic



B) A plane-wave DFT calculation with PBE was carried out for crystalline CdAg3N at its relaxed geometry.

abc: 5.135 5.135 5.135
angles: 90.00 90.00 90.00
Space group Pm-3m (No. 221)
Asymmetric unit:
1 Cd 0.000 0.000 0.000
2 Ag 0.000 0.000 0.500
3 N 0.500 0.500 0.500

## Properties
Crystal system = cubic



Winner for stability: A)



A) A plane-wave DFT calculation with PBE was carried out for crystalline CdAgSe2N at its relaxed geometry.

abc: 5.261 5.261 4.020
angles: 90.00 90.00 90.00
Space group P4/mmm (No. 123)
Asymmetric unit:
1 Cd 0.000 0.000 0.000
2 Ag 0.500 0.500 0.500
3 Se 0.000 0.500 0.500
4 N 0.500 0.500 0.000

## Properties
Crystal system = tetragonal



B) A plane-wave DFT calculation with PBE was carried out for crystalline CdAgSe2N at its relaxed geometry.

abc: 5.388 5.388 4.194
angles: 90.00 90.00 90.00
Space group P4/mmm (No. 123)
Asymmetric unit:
1 Cd 0.000 0.000 0.000
2 Ag 0.500 0.500 0.500
3 Se 0.000 0.500 0.000
4 N 0.000 0.000 0.500

## Properties
Crystal system = tetragonal



Winner for stability: A)



A) A plane-wave DFT calculation with PBE was carried out for crystalline Sr2CdAgN at its relaxed geometry.

abc: 5.325 5.325 4.429
angles: 90.00 90.00 90.00
Space group P4/mmm (No. 123)
Asymmetric unit:
1 Sr 0.000 0.500 0.000
2 Cd 0.000 0.000 0.500
3 Ag 0.500 0.500 0.500
4 N 0.500 0.500 0.000

## Properties
Crystal system = tetragonal



B) A plane-wave DFT calculation with PBE was carried out for crystalline Sr2CdAgN at its relaxed geometry.

abc: 5.289 5.289 4.543
angles: 90.00 90.00 90.00
Space group P4/mmm (No. 123)
Asymmetric unit:
1 Sr 0.000 0.500 0.000
2 Cd 0.000 0.000 0.500
3 Ag 0.500 0.500 0.500
4 N 0.000 0.000 0.000

## Properties
Crystal system = tetragonal



Winner for stability: B)